Entry 1:
! NaSbSe3 (PBEsol, relaxed); values from VASP
! Space group: No. 221
! Formation energy (no corrections): -0.08 eV per atom
! Spin magnetization: 0.000 μB per atom
! Energy: -17.9 eV for the cell shown
! Polymorph energy (0 for the lowest one): 0.00 eV per formula unit
! N(E_F): 4.2 states/eV/cell
&SYSTEM
  ibrav = 0, nat = 5, ntyp = 3
/
ATOMIC_SPECIES
Sb 121.76 Sb.upf
Se 78.96 Se.upf
Na 22.99 Na.upf
CELL_PARAMETERS angstrom
-5.175 -0.575 -1.027
1.177 -2.523 -4.518
0.001 -4.633 2.588
ATOMIC_POSITIONS crystal
Sb 0.000 0.000 0.000
Se 0.000 0.500 0.000
Se 0.000 0.000 0.500
Se 0.500 0.000 0.000
Na 0.500 0.500 0.500



Entry 2:
! BaBe2IrW (PBEsol, relaxed); values from VASP
! Space group: No. 123
! Formation energy from the elements: 0.615 eV/atom
! Spin magnetization: 0.001 μB per atom
! Energy: -30.7 eV for the cell shown
! N(E_F): 4.2 states/eV/cell
&SYSTEM
  ibrav = 0, nat = 5, ntyp = 4
/
ATOMIC_SPECIES
Be 9.01 Be.upf
Ir 192.22 Ir.upf
Ba 137.33 Ba.upf
W 183.84 W.upf
CELL_PARAMETERS angstrom
-2.518 3.501 -1.255
-3.690 -2.541 0.316
-0.502 1.308 4.656
ATOMIC_POSITIONS crystal
Be 0.000 0.500 0.000
Be 0.500 0.000 0.000
Ir 0.000 0.000 0.000
Ba 0.500 0.500 0.500
W 0.000 0.000 0.500



Entry 3:
! ZnOsCl2 (PBEsol, relaxed); values from VASP
! Space group: No. 99
! Formation energy (no corrections): 0.32 eV per atom
! Spin magnetization: 0.000 μB per atom
! Energy: -16.5 eV for the cell shown
! Polymorph energy (0 for the lowest one): 0.00 eV per formula unit
! N(E_F): 2.2 states/eV/cell
&SYSTEM
  ibrav = 0, nat = 4, ntyp = 3
/
ATOMIC_SPECIES
Zn 65.41 Zn.upf
Os 190.23 Os.upf
Cl 35.45 Cl.upf
CELL_PARAMETERS angstrom
-1.259 1.948 1.821
0.734 -1.682 2.308
6.679 3.748 0.607
ATOMIC_POSITIONS crystal
Zn 0.500 0.500 0.738
Os 0.000 0.000 0.505
Cl 0.000 0.000 0.941
Cl 0.500 0.500 0.316



Entry 4:
! TeBrN2F (PBEsol, relaxed); values from VASP
! Space group: No. 123
! Formation energy (no corrections): 0.93 eV per atom
! Spin magnetization: 0.341 μB per atom
! Energy: -19.7 eV for the cell shown
! Polymorph energy (0 for the lowest one): 0.00 eV per formula unit
! N(E_F): 4.6 states/eV/cell
&SYSTEM
  ibrav = 0, nat = 5, ntyp = 4
/
ATOMIC_SPECIES
N 14.01 N.upf
Te 127.60 Te.upf
Br 79.90 Br.upf
F 19.00 F.upf
CELL_PARAMETERS angstrom
-2.732 2.219 2.189
-2.542 0.098 -3.272
-1.839 -3.567 1.321
ATOMIC_POSITIONS crystal
N 0.000 0.500 0.000
N 0.500 0.000 0.000
Te 0.000 0.000 0.000
Br 0.500 0.500 0.500
F 0.000 0.000 0.500